CoPPb2: optimized geometry, PBE.

Properties
The total magnetization is 0.000 μB per atom. The calculation puts the total energy at -4.90 eV per atom. The calculation puts the volume at 21.02 Å³ per atom.

Unit cell a=3.1841 b=3.1853 c=8.2904 alpha=90.00 beta=90.00 gamma=90.00
Last column: nearest neighbours and their distance in Å.
Atoms (fractional coordinates):
Co 0.0000 0.0000 0.5836  4 P 2.35
Pb 0.0000 0.0000 0.9348  1 Co 2.91, 4 P 3.17, 4 Pb 3.18-3.19
P 0.5000 0.5000 0.6658  4 Co 2.35
Pb 0.5000 0.5000 0.3158  1 P 2.90, 4 Co 3.16, 4 Pb 3.18-3.19